No. 1
A relaxed TbPm7Er12 crystal. Source: the Alexandria database, functional PBE.

## Properties
DFT total energy ... -0.323 Ry/atom
ΔH_f (0 K) ... 23 kJ per mole of atoms
DOS at the Fermi energy ... 1.8112 states/eV/atom
Excess energy over the best structure of this formula in the dataset ... 0 meV per atom

Cell lengths 8.7399, 8.7399, 8.7399 Å; angles 85.94, 85.94, 85.94 degrees
Element x y z (fractional)
Pm (0.5000, 0.5000, 0.5000)
Pm (0.1555, 0.3986, 0.0762)
Pm (0.9238, 0.8445, 0.6014)
Pm (0.6014, 0.9238, 0.8445)
Pm (0.3986, 0.0762, 0.1555)
Pm (0.0762, 0.1555, 0.3986)
Pm (0.8445, 0.6014, 0.9238)
Er (0.8656, 0.5031, 0.3819)
Er (0.7448, 0.2727, 0.1460)
Er (0.6181, 0.1344, 0.4969)
Er (0.7273, 0.8540, 0.2552)
Er (0.2727, 0.1460, 0.7448)
Er (0.8540, 0.2552, 0.7273)
Er (0.5031, 0.3819, 0.8656)
Er (0.1460, 0.7448, 0.2727)
Er (0.4969, 0.6181, 0.1344)
Er (0.3819, 0.8656, 0.5031)
Er (0.1344, 0.4969, 0.6181)
Er (0.2552, 0.7273, 0.8540)
Tb (0.0000, 0.0000, 0.0000)

***

No. 2
A relaxed Ac6NdTm crystal. Source: the Alexandria database, functional PBE.

## Properties
DFT total energy ... -0.303 Ry/atom
ΔH_f (0 K) ... 11 kJ per mole of atoms
DOS at the Fermi energy ... 1.7191 states/eV/atom

Cell lengths 6.3623, 9.3612, 9.3599 Å; angles 40.37, 70.13, 70.13 degrees
Element x y z (fractional)
Ac (0.6176, 0.8541, 0.9107)
Ac (0.8820, 0.5861, 0.6499)
Ac (0.2484, 0.7935, 0.7096)
Ac (0.1180, 0.4139, 0.3501)
Ac (0.3824, 0.1459, 0.0893)
Ac (0.7516, 0.2065, 0.2904)
Tm (0.0000, 0.0000, 0.0000)
Nd (0.5000, 0.5000, 0.5000)

***

No. 3
A relaxed YMnSi2 crystal. Source: the Alexandria database, functional PBE.

## Properties
DFT total energy ... -0.502 Ry/atom
DOS at the Fermi energy ... 0.5317 states/eV/atom

Cell lengths 3.1474, 3.1474, 6.5240 Å; angles 90.00, 90.00, 90.01 degrees
Element x y z (fractional)
Y (0.0000, 0.0000, 0.5104)
Si (0.5000, 0.5000, 0.1898)
Si (0.0000, 0.0000, 0.9682)
Mn (0.5000, 0.5000, 0.8316)

***

No. 4
A relaxed NaLiSc3 crystal. Source: the Alexandria database, functional PBE.

## Properties
DFT total energy ... -0.278 Ry/atom
ΔH_f (0 K) ... 64 kJ per mole of atoms
DOS at the Fermi energy ... 2.4987 states/eV/atom
Excess energy over the best structure of this formula in the dataset ... 0 meV per atom

Cell lengths 5.1678, 5.1678, 5.1678 Å; angles 90.00, 90.00, 90.00 degrees
Last column: magnetic moment on the atom in μB.
Element x y z (fractional)
Sc (0.5000, 0.0000, 0.0000)  0.44
Sc (0.0000, 0.5000, 0.0000)  0.51
Sc (0.0000, 0.0000, 0.5000)  0.46
Li (0.0000, 0.0000, 0.0000)  0.04
Na (0.5000, 0.5000, 0.5000)  0.01

***

No. 5
A relaxed AgHgP4 crystal. Source: the Alexandria database, functional PBE.

## Properties
DFT total energy ... -0.272 Ry/atom
ΔH_f (0 K) ... 42 kJ per mole of atoms
DOS at the Fermi energy ... 0.4837 states/eV/atom

Cell lengths 6.0119, 6.0119, 6.0119 Å; angles 60.00, 60.00, 60.00 degrees
Element x y z (fractional)
Ag (0.7500, 0.7500, 0.7500)
P (0.3422, 0.3422, 0.3422)
P (0.9735, 0.3422, 0.3422)
P (0.3422, 0.9735, 0.3422)
P (0.3422, 0.3422, 0.9735)
Hg (0.0000, 0.0000, 0.0000)

***

No. 6
A relaxed K2Al2N crystal. Source: the Alexandria database, functional PBE.

## Properties
DFT total energy ... -0.180 Ry/atom
DOS at the Fermi energy ... 1.8169 states/eV/atom
Excess energy over the best structure of this formula in the dataset ... 477 meV per atom

Cell lengths 6.7150, 6.7150, 6.2732 Å; angles 90.00, 90.00, 90.00 degrees
Element x y z (fractional)
N (0.0000, 0.0000, 0.0000)
N (0.5000, 0.5000, 0.0000)
K (0.3417, 0.8417, 0.0000)
K (0.1583, 0.3417, 0.0000)
K (0.6583, 0.1583, 0.0000)
K (0.8417, 0.6583, 0.0000)
Al (0.3327, 0.1673, 0.5000)
Al (0.8327, 0.3327, 0.5000)
Al (0.1673, 0.6673, 0.5000)
Al (0.6673, 0.8327, 0.5000)

***

No. 7
A relaxed SiTc2P crystal. Source: the Alexandria database, functional PBE.

## Properties
DFT total energy ... -0.563 Ry/atom
DOS at the Fermi energy ... 0.9329 states/eV/atom
Excess energy over the best structure of this formula in the dataset ... 737 meV per atom

Cell lengths 2.7720, 2.7720, 8.1299 Å; angles 90.00, 90.00, 114.12 degrees
Element x y z (fractional)
Si (0.5000, 0.5000, 0.7522)
Tc (0.5000, 0.5000, 0.2661)
Tc (0.0000, 0.0000, 0.9898)
P (0.0000, 0.0000, 0.4919)

***

No. 8
A relaxed Ca2ReCl crystal. Source: the Alexandria database, functional PBE.

## Properties
DFT total energy ... -0.315 Ry/atom
DOS at the Fermi energy ... 1.0471 states/eV/atom
Excess energy over the best structure of this formula in the dataset ... 527 meV per atom

Cell lengths 3.1153, 3.1153, 10.9287 Å; angles 90.00, 90.00, 90.12 degrees
Element x y z (fractional)
Re (0.5000, 0.5000, 0.7858)
Ca (0.0000, 0.0000, 0.9813)
Ca (0.5000, 0.5000, 0.2945)
Cl (0.0000, 0.0000, 0.4384)